# 1
Tl6CdIn2: optimized geometry, PBE-GGA.

Output
The calculation puts the formation energy at 0.0332 eV/atom. The calculation puts the density of states at the Fermi level at 0.39 states/eV per atom. Its space group is No. 15.

a = 9.3670 Å, b = 9.3670 Å, c = 6.4341 Å
α = 98.98°, β = 98.98°, γ = 100.09°
Last column: nearest neighbours and their distance in Å.
Element x y z (fractional)
Tl  0.0740  0.4174  0.6837  1 Cd 3.20, 2 In 3.20-3.32, 4 Tl 3.28-3.55
Tl  0.1517  0.7523  0.9821  6 Tl 3.31-3.65, 3 In 3.36-3.63, 1 Cd 3.46
Tl  0.2477  0.8483  0.5179  6 Tl 3.31-3.65, 3 In 3.36-3.63, 1 Cd 3.46
Tl  0.2549  0.4485  0.2220  2 Cd 3.23-3.43, 2 In 3.32-3.45, 2 Tl 3.50-3.55
Tl  0.4174  0.0740  0.1837  1 Cd 3.20, 2 In 3.20-3.32, 4 Tl 3.28-3.55
Tl  0.4485  0.2549  0.7220  2 Cd 3.23-3.43, 2 In 3.32-3.45, 2 Tl 3.50-3.55
Tl  0.5515  0.7451  0.2780  2 Cd 3.23-3.43, 2 In 3.32-3.45, 2 Tl 3.50-3.55
Tl  0.5826  0.9260  0.8163  1 Cd 3.20, 2 In 3.20-3.32, 4 Tl 3.28-3.55
Tl  0.7451  0.5515  0.7780  2 Cd 3.23-3.43, 2 In 3.32-3.45, 2 Tl 3.50-3.55
Tl  0.7523  0.1517  0.4821  6 Tl 3.31-3.65, 3 In 3.36-3.63, 1 Cd 3.46
Tl  0.8483  0.2477  0.0179  6 Tl 3.31-3.65, 3 In 3.36-3.63, 1 Cd 3.46
Tl  0.9260  0.5826  0.3163  1 Cd 3.20, 2 In 3.20-3.32, 4 Tl 3.28-3.55
Cd  0.4081  0.5919  0.7500  8 Tl 3.20-3.46
Cd  0.5919  0.4081  0.2500  8 Tl 3.20-3.46
In  0.1168  0.1356  0.3664  3 In 3.04-3.23, 4 Tl 3.20-3.36
In  0.1356  0.1168  0.8664  3 In 3.04-3.23, 4 Tl 3.20-3.36
In  0.8644  0.8832  0.1336  3 In 3.04-3.23, 4 Tl 3.20-3.36
In  0.8832  0.8644  0.6336  3 In 3.04-3.23, 4 Tl 3.20-3.36

***

# 2
Tl2Cd5In4: optimized geometry, PBE-GGA.

Output
The calculation puts the formation energy at 0.0311 eV/atom. The calculation puts the density of states at the Fermi level at 0.41 states/eV per atom. Its space group is No. 12.

a = 10.8406 Å, b = 10.8406 Å, c = 8.4463 Å
α = 108.16°, β = 108.16°, γ = 17.82°
Last column: nearest neighbours and their distance in Å.
Element x y z (fractional)
Tl  0.1063  0.1063  0.4485  2 Tl 3.36, 6 Cd 3.36-3.75, 5 In 3.44-3.47
Tl  0.8937  0.8937  0.5515  2 Tl 3.36, 6 Cd 3.36-3.75, 5 In 3.44-3.47
Cd  0.0000  0.0000  0.0000  6 Cd 3.09-3.36, 4 In 3.27
Cd  0.2449  0.2449  0.3419  6 Cd 3.10-3.36, 2 In 3.18, 1 Tl 3.36
Cd  0.3726  0.3726  0.8802  6 Cd 3.09-3.36, 3 In 3.20-3.32, 2 Tl 3.39
Cd  0.6274  0.6274  0.1198  6 Cd 3.09-3.36, 3 In 3.20-3.32, 2 Tl 3.39
Cd  0.7551  0.7551  0.6581  6 Cd 3.10-3.36, 2 In 3.18, 1 Tl 3.36
In  0.1854  0.1854  0.8748  4 Cd 3.18-3.20, 6 In 3.36-3.39, 1 Tl 3.46
In  0.4583  0.4583  0.2834  3 Cd 3.27-3.32, 5 In 3.36-3.53, 4 Tl 3.44-3.47
In  0.5417  0.5417  0.7166  3 Cd 3.27-3.32, 5 In 3.36-3.53, 4 Tl 3.44-3.47
In  0.8146  0.8146  0.1252  4 Cd 3.18-3.20, 6 In 3.36-3.39, 1 Tl 3.46

***

# 3
Tl2CdIn: optimized geometry, PBE-GGA.

Output
The calculation puts the formation energy at 0.0490 eV/atom. The calculation puts the density of states at the Fermi level at 0.58 states/eV per atom. Its space group is No. 166.

a = 10.7750 Å, b = 10.7750 Å, c = 10.7750 Å
α = 18.73°, β = 18.73°, γ = 18.73°
Last column: nearest neighbours and their distance in Å.
Element x y z (fractional)
Tl  0.2487  0.2487  0.2487  3 Cd 3.30, 3 In 3.36, 6 Tl 3.51
Tl  0.7513  0.7513  0.7513  3 Cd 3.30, 3 In 3.36, 6 Tl 3.51
Cd  0.5000  0.5000  0.5000  6 Tl 3.30, 6 Cd 3.51
In  0.0000  0.0000  0.0000  6 Tl 3.36, 6 In 3.51

***

# 4
Tl2Cd2In: optimized geometry, PBE-GGA.

Output
The calculation puts the formation energy at 0.0683 eV/atom. The calculation puts the density of states at the Fermi level at 0.42 states/eV per atom. Its space group is No. 127.

a = 7.9482 Å, b = 7.9482 Å, c = 4.4642 Å
α = 90.00°, β = 90.00°, γ = 90.00°
Last column: nearest neighbours and their distance in Å.
Element x y z (fractional)
Tl  0.1705  0.3295  0.0000  6 Cd 3.15-3.29
Tl  0.3295  0.8295  0.0000  6 Cd 3.15-3.29
Tl  0.6705  0.1705  0.0000  6 Cd 3.15-3.29
Tl  0.8295  0.6705  0.0000  6 Cd 3.15-3.29
Cd  0.1320  0.6320  0.5000  1 Cd 2.97, 2 In 3.11, 6 Tl 3.15-3.29
Cd  0.3680  0.1320  0.5000  1 Cd 2.97, 2 In 3.11, 6 Tl 3.15-3.29
Cd  0.6320  0.8680  0.5000  1 Cd 2.97, 2 In 3.11, 6 Tl 3.15-3.29
Cd  0.8680  0.3680  0.5000  1 Cd 2.97, 2 In 3.11, 6 Tl 3.15-3.29
In  0.0000  0.0000  0.5000  4 Cd 3.11
In  0.5000  0.5000  0.5000  4 Cd 3.11

***

# 5
TlCd2In6: optimized geometry, PBE-GGA.

Output
The calculation puts the formation energy at 0.0240 eV/atom. The calculation puts the density of states at the Fermi level at 0.35 states/eV per atom. Its space group is No. 14.

a = 3.3208 Å, b = 14.0962 Å, c = 10.6250 Å
α = 90.00°, β = 104.93°, γ = 90.00°
Last column: nearest neighbours and their distance in Å.
Element x y z (fractional)
Tl  0.0000  0.0000  0.0000  2 Tl 3.32, 4 Cd 3.32-3.43, 6 In 3.35-3.46
Tl  0.0000  0.5000  0.5000  2 Tl 3.32, 4 Cd 3.32-3.43, 6 In 3.35-3.46
Cd  0.3237  0.1665  0.8275  8 In 3.21-3.54, 2 Cd 3.32, 2 Tl 3.32-3.43
Cd  0.3237  0.3335  0.3275  8 In 3.21-3.54, 2 Cd 3.32, 2 Tl 3.32-3.43
Cd  0.6763  0.6665  0.6725  8 In 3.21-3.54, 2 Cd 3.32, 2 Tl 3.32-3.43
Cd  0.6763  0.8335  0.1725  8 In 3.21-3.54, 2 Cd 3.32, 2 Tl 3.32-3.43
In  0.0023  0.1728  0.4930  3 Cd 3.21-3.44, 9 In 3.29-3.45
In  0.0023  0.3272  0.9930  3 Cd 3.21-3.44, 9 In 3.29-3.45
In  0.3290  0.6692  0.3283  3 Cd 3.23-3.54, 7 In 3.29-3.49, 2 Tl 3.35-3.45
In  0.3290  0.8308  0.8283  3 Cd 3.23-3.54, 7 In 3.29-3.49, 2 Tl 3.35-3.45
In  0.3530  0.5052  0.8358  2 Cd 3.21-3.35, 9 In 3.32-3.49, 1 Tl 3.46
In  0.3530  0.9948  0.3358  2 Cd 3.21-3.35, 9 In 3.32-3.49, 1 Tl 3.46
In  0.6470  0.0052  0.6642  2 Cd 3.21-3.35, 9 In 3.32-3.49, 1 Tl 3.46
In  0.6470  0.4948  0.1642  2 Cd 3.21-3.35, 9 In 3.32-3.49, 1 Tl 3.46
In  0.6710  0.1692  0.1717  3 Cd 3.23-3.54, 7 In 3.29-3.49, 2 Tl 3.35-3.45
In  0.6710  0.3308  0.6717  3 Cd 3.23-3.54, 7 In 3.29-3.49, 2 Tl 3.35-3.45
In  0.9977  0.6728  0.0070  3 Cd 3.21-3.44, 9 In 3.29-3.45
In  0.9977  0.8272  0.5070  3 Cd 3.21-3.44, 9 In 3.29-3.45

***

# 6
TlCd2In: optimized geometry, PBE-GGA.

Output
The calculation puts the formation energy at 0.0406 eV/atom. The calculation puts the density of states at the Fermi level at 0.25 states/eV per atom. Its space group is No. 47.

a = 4.6149 Å, b = 4.7521 Å, c = 4.8014 Å
α = 90.00°, β = 90.00°, γ = 90.00°
Last column: nearest neighbours and their distance in Å.
Element x y z (fractional)
Tl  0.0000  0.0000  0.0000  8 Cd 3.31-3.38, 4 In 3.33
Cd  0.0000  0.5000  0.5000  4 In 3.31, 4 Cd 3.33, 4 Tl 3.38
Cd  0.5000  0.5000  0.0000  4 Tl 3.31, 4 Cd 3.33, 4 In 3.38
In  0.5000  0.0000  0.5000  8 Cd 3.31-3.38, 4 Tl 3.33

***

# 7
TlCdIn2: optimized geometry, PBE-GGA.

Output
The calculation puts the formation energy at 0.0332 eV/atom. The calculation puts the density of states at the Fermi level at 0.35 states/eV per atom. Its space group is No. 25.

a = 3.4023 Å, b = 4.6881 Å, c = 6.7892 Å
α = 90.00°, β = 90.00°, γ = 90.00°
Last column: nearest neighbours and their distance in Å.
Element x y z (fractional)
Tl  0.0000  0.0000  0.0000  6 In 3.33-3.46, 4 Cd 3.37, 2 Tl 3.40
Cd  0.5000  0.5000  0.2529  6 In 3.30-3.49, 4 Tl 3.37, 2 Cd 3.40
In  0.0000  0.0000  0.4908  4 Cd 3.32, 2 Tl 3.33-3.46, 6 In 3.35-3.40
In  0.5000  0.5000  0.7394  2 Cd 3.30-3.49, 6 In 3.35-3.40, 4 Tl 3.39

***

# 8
Tl5CdIn3: optimized geometry, PBE-GGA.

Output
The calculation puts the formation energy at 0.0920 eV/atom. The calculation puts the density of states at the Fermi level at 0.52 states/eV per atom. Its space group is No. 140.

a = 10.3043 Å, b = 10.3043 Å, c = 10.3043 Å
α = 134.47°, β = 134.47°, γ = 66.36°
Last column: nearest neighbours and their distance in Å.
Element x y z (fractional)
Tl  0.0000  0.0000  0.0000  4 In 3.14
Tl  0.0688  0.5688  0.9257  1 Cd 3.02, 1 In 3.07
Tl  0.1431  0.0688  0.5000  1 Cd 3.02, 1 In 3.07
Tl  0.3569  0.8569  0.9257  1 Cd 3.02, 1 In 3.07
Tl  0.4312  0.3569  0.5000  1 Cd 3.02, 1 In 3.07
Tl  0.5000  0.5000  0.0000  4 In 3.14
Tl  0.5688  0.6431  0.5000  1 Cd 3.02, 1 In 3.07
Tl  0.6431  0.1431  0.0743  1 Cd 3.02, 1 In 3.07
Tl  0.8569  0.9312  0.5000  1 Cd 3.02, 1 In 3.07
Tl  0.9312  0.4312  0.0743  1 Cd 3.02, 1 In 3.07
Cd  0.2500  0.7500  0.5000  4 Tl 3.02
Cd  0.7500  0.2500  0.5000  4 Tl 3.02
In  0.1276  0.3724  0.5000  1 In 2.88, 4 Tl 3.07-3.14
In  0.2500  0.2500  0.0000  8 Tl 3.39
In  0.3724  0.8724  0.2449  1 In 2.88, 4 Tl 3.07-3.14
In  0.6276  0.1276  0.7551  1 In 2.88, 4 Tl 3.07-3.14
In  0.7500  0.7500  0.0000  8 Tl 3.39
In  0.8724  0.6276  0.5000  1 In 2.88, 4 Tl 3.07-3.14

***

# 9
Tl2Cd5In: optimized geometry, PBE-GGA.

Output
The calculation puts the formation energy at 0.0414 eV/atom. The calculation puts the density of states at the Fermi level at 0.37 states/eV per atom. Its space group is No. 139.

a = 9.8155 Å, b = 9.8155 Å, c = 9.8155 Å
α = 152.14°, β = 152.14°, γ = 39.81°
Last column: nearest neighbours and their distance in Å.
Element x y z (fractional)
Tl  0.2500  0.2500  0.0000  4 Tl 3.34, 8 Cd 3.39
Tl  0.7500  0.7500  0.0000  4 Tl 3.34, 8 Cd 3.39
Cd  0.0000  0.0000  0.0000  8 Cd 3.21, 4 In 3.34
Cd  0.1181  0.6181  0.5000  6 Cd 3.21-3.34, 2 In 3.21, 4 Tl 3.39
Cd  0.3819  0.8819  0.5000  6 Cd 3.21-3.34, 2 In 3.21, 4 Tl 3.39
Cd  0.6181  0.1181  0.5000  6 Cd 3.21-3.34, 2 In 3.21, 4 Tl 3.39
Cd  0.8819  0.3819  0.5000  6 Cd 3.21-3.34, 2 In 3.21, 4 Tl 3.39
In  0.5000  0.5000  0.0000  12 Cd 3.21-3.34

***

# 10
TlCdIn2: optimized geometry, PBE-GGA.

Output
The calculation puts the formation energy at 0.0852 eV/atom. The calculation puts the density of states at the Fermi level at 1.14 states/eV per atom. Its space group is No. 216.

a = 5.3909 Å, b = 5.3909 Å, c = 5.3909 Å
α = 60.00°, β = 60.00°, γ = 60.00°
Last column: nearest neighbours and their distance in Å.
Element x y z (fractional)
Tl  0.0000  0.0000  0.0000  4 Cd 3.30, 4 In 3.30
Cd  0.7500  0.7500  0.7500  4 Tl 3.30, 4 In 3.30
In  0.2500  0.2500  0.2500  4 In 3.30, 4 Tl 3.30
In  0.5000  0.5000  0.5000  4 Cd 3.30, 4 In 3.30